Below is crystalline LiHfAu3S4 at its relaxed geometry, with properties calculated at the PBE level.

```
data_LiHfAu3S4
_cell_length_a 5.947
_cell_length_b 5.947
_cell_length_c 5.947
_cell_angle_alpha 90.00
_cell_angle_beta 90.00
_cell_angle_gamma 90.00
_space_group_name_H-M_alt 'P 1'
_space_group_IT_number 1
_space_group_name_Hall 'P 1'
loop_
_atom_site_label
_atom_site_type_symbol
_atom_site_fract_x
_atom_site_fract_y
_atom_site_fract_z
Li1 Li 0.000 0.000 0.000
Hf1 Hf 0.500 0.500 0.500
Au1 Au 0.000 0.500 0.500
Au2 Au 0.500 0.000 0.500
Au3 Au 0.500 0.500 0.000
S1 S 0.260 0.260 0.260
S2 S 0.260 0.740 0.740
S3 S 0.740 0.260 0.740
S4 S 0.740 0.740 0.260
```

Computed properties:
Volume in Å³ per cell: 210
Energy above the lowest structure with this stoichiometry in meV per atom: 0.0
SG: No. 215

Below is crystalline LiHfAu3S4 at its relaxed geometry, with properties calculated at the PBE level.

```
data_LiHfAu3S4
_cell_length_a 5.620
_cell_length_b 8.548
_cell_length_c 8.985
_cell_angle_alpha 90.00
_cell_angle_beta 91.83
_cell_angle_gamma 90.00
_space_group_name_H-M_alt 'P 1'
_space_group_IT_number 1
_space_group_name_Hall 'P 1'
loop_
_atom_site_label
_atom_site_type_symbol
_atom_site_fract_x
_atom_site_fract_y
_atom_site_fract_z
Li1 Li 0.204 0.250 0.273
Li2 Li 0.796 0.750 0.727
Hf1 Hf 0.144 0.750 0.253
Hf2 Hf 0.856 0.250 0.747
Au1 Au 0.318 0.079 0.911
Au2 Au 0.318 0.421 0.911
Au3 Au 0.358 0.250 0.618
Au4 Au 0.642 0.750 0.382
Au5 Au 0.682 0.579 0.089
Au6 Au 0.682 0.921 0.089
S1 S 0.023 0.250 0.015
S2 S 0.023 0.750 0.504
S3 S 0.398 0.517 0.271
S4 S 0.398 0.983 0.271
S5 S 0.602 0.017 0.729
S6 S 0.602 0.483 0.729
S7 S 0.977 0.250 0.496
S8 S 0.977 0.750 0.985
```

Computed properties:
Volume in Å³ per cell: 431
Energy above the lowest structure with this stoichiometry in meV per atom: 27.0
SG: No. 11